Compound: LiTlF2
Source: the Alexandria database
Functional: meta-GGA SCAN
Structure: PBEsol geometry

```
data_LiTlF2
_space_group_name_H-M_alt 'I -4 2 d'
_space_group_IT_number 122
_space_group_name_Hall 'I -4 2bw'
_cell_length_a 5.7617
_cell_length_b 5.7617
_cell_length_c 7.1936
_cell_angle_alpha 90.00
_cell_angle_beta 90.00
_cell_angle_gamma 90.00
loop_
_atom_site_label
_atom_site_fract_x
_atom_site_fract_y
_atom_site_fract_z
Li1 0.0000 0.0000 0.0000
Tl1 0.0000 0.0000 0.5000
F1 0.1349 0.2500 0.1250
```

Properties
total magnetization = 0.000 Bohr magnetons per cell
uncorrected energy = -365.8 eV/cell



Compound: Cs2LiCd2
Source: the Alexandria database
Functional: meta-GGA SCAN
Structure: PBEsol geometry

```
data_Cs2LiCd2
_space_group_name_H-M_alt 'I 4/m m m'
_space_group_IT_number 139
_space_group_name_Hall '-I 4 2'
_cell_length_a 5.7202
_cell_length_b 5.7202
_cell_length_c 14.8787
_cell_angle_alpha 90.00
_cell_angle_beta 90.00
_cell_angle_gamma 90.00
loop_
_atom_site_label
_atom_site_fract_x
_atom_site_fract_y
_atom_site_fract_z
Cs1 0.0000 0.5000 0.2500
Li1 0.0000 0.0000 0.0000
Cd1 0.0000 0.0000 0.4082
```

Properties
total magnetization = 0.000 Bohr magnetons per cell
formation enthalpy at 0 K = 21.2 kJ per mole of atoms



Compound: MgAs2I
Source: the Alexandria database
Functional: meta-GGA SCAN
Structure: PBEsol geometry

```
data_MgAs2I
_space_group_name_H-M_alt 'F m -3 m'
_space_group_IT_number 225
_space_group_name_Hall '-F 4 2 3'
_cell_length_a 7.0919
_cell_length_b 7.0919
_cell_length_c 7.0919
_cell_angle_alpha 90.00
_cell_angle_beta 90.00
_cell_angle_gamma 90.00
loop_
_atom_site_label
_atom_site_fract_x
_atom_site_fract_y
_atom_site_fract_z
Mg1 0.0000 0.0000 0.0000
As1 0.2500 0.2500 0.2500
I1 0.0000 0.0000 0.5000
```

Properties
total magnetization = 0.000 Bohr magnetons per cell
uncorrected energy = -319.3 eV/cell



Compound: Y2PtBr
Source: the Alexandria database
Functional: meta-GGA SCAN
Structure: PBEsol geometry

```
data_Y2PtBr
_space_group_name_H-M_alt 'P 4/m m m'
_space_group_IT_number 123
_space_group_name_Hall '-P 4 2'
_cell_length_a 3.3918
_cell_length_b 3.3918
_cell_length_c 8.0337
_cell_angle_alpha 90.00
_cell_angle_beta 90.00
_cell_angle_gamma 90.00
loop_
_atom_site_label
_atom_site_fract_x
_atom_site_fract_y
_atom_site_fract_z
Y1 0.0000 0.0000 0.2126
Pt1 0.5000 0.5000 0.0000
Br1 0.5000 0.5000 0.5000
```

Properties
total magnetization = 0.000 Bohr magnetons per cell
ΔE to the lowest computed polymorph = 0.274 eV per atom



Compound: KInC3
Source: the Alexandria database
Functional: meta-GGA SCAN
Structure: PBEsol geometry

```
data_KInC3
_space_group_name_H-M_alt 'P m -3 m'
_space_group_IT_number 221
_space_group_name_Hall '-P 4 2 3'
_cell_length_a 4.4470
_cell_length_b 4.4470
_cell_length_c 4.4470
_cell_angle_alpha 90.00
_cell_angle_beta 90.00
_cell_angle_gamma 90.00
loop_
_atom_site_label
_atom_site_fract_x
_atom_site_fract_y
_atom_site_fract_z
K1 0.0000 0.0000 0.0000
In1 0.5000 0.5000 0.5000
C1 0.0000 0.5000 0.5000
```

Properties
total magnetization = 0.003 Bohr magnetons per cell
formation enthalpy at 0 K = 270.4 kJ per mole of atoms



Compound: TaPdBr2
Source: the Alexandria database
Functional: meta-GGA SCAN
Structure: PBEsol geometry

```
data_TaPdBr2
_space_group_name_H-M_alt 'R -3 m'
_space_group_IT_number 166
_space_group_name_Hall '-R 3 2"'
_cell_length_a 3.2718
_cell_length_b 3.2718
_cell_length_c 26.4526
_cell_angle_alpha 90.00
_cell_angle_beta 90.00
_cell_angle_gamma 120.00
loop_
_atom_site_label
_atom_site_fract_x
_atom_site_fract_y
_atom_site_fract_z
Ta1 0.0000 0.0000 0.0000
Pd1 0.0000 0.0000 0.5000
Br1 0.0000 0.0000 0.0921
```

Properties
total magnetization = 0.003 Bohr magnetons per cell
ΔE to the lowest computed polymorph = 0.000 eV per atom



Compound: TiCoPd3
Source: the Alexandria database
Functional: meta-GGA SCAN
Structure: PBEsol geometry

```
data_TiCoPd3
_space_group_name_H-M_alt 'P m -3 m'
_space_group_IT_number 221
_space_group_name_Hall '-P 4 2 3'
_cell_length_a 4.5045
_cell_length_b 4.5045
_cell_length_c 4.5045
_cell_angle_alpha 90.00
_cell_angle_beta 90.00
_cell_angle_gamma 90.00
loop_
_atom_site_label
_atom_site_fract_x
_atom_site_fract_y
_atom_site_fract_z
Ti1 0.0000 0.0000 0.0000
Co1 0.5000 0.5000 0.5000
Pd1 0.0000 0.0000 0.5000
```

Properties
total magnetization = 2.095 Bohr magnetons per cell
formation enthalpy at 0 K = 71.3 kJ per mole of atoms



Compound: Cu8As
Source: the Alexandria database
Functional: meta-GGA SCAN
Structure: PBEsol geometry

```
data_Cu8As
_space_group_name_H-M_alt 'I 4/m m m'
_space_group_IT_number 139
_space_group_name_Hall '-I 4 2'
_cell_length_a 7.6452
_cell_length_b 7.6452
_cell_length_c 3.6285
_cell_angle_alpha 90.00
_cell_angle_beta 90.00
_cell_angle_gamma 90.00
loop_
_atom_site_label
_atom_site_fract_x
_atom_site_fract_y
_atom_site_fract_z
Cu1 0.0000 0.3364 0.0000
Cu2 0.1693 0.1693 0.5000
As1 0.0000 0.0000 0.0000
```

Properties
total magnetization = 0.000 Bohr magnetons per cell
formation enthalpy at 0 K = 0.6 kJ per mole of atoms